No. 1
## Cu2AgCl8 (PBE-GGA)

Data for an optimized crystal structure of Cu2AgCl8.

Geometry as extended XYZ:
```
11
Lattice="-1.539 4.865 4.273 -6.818 -2.099 2.447 2.264 -2.871 6.597" Properties=species:S:1:pos:R:3 pbc="T T T"
Cl -4.031 -1.762 8.495
Cl -2.263 -1.479 4.677
Cl -6.166 2.217 5.708
Cl -3.831 1.374 8.640
Cl -2.062 1.657 4.822
Cl 0.073 -2.322 7.609
Cl -6.089 -1.798 4.794
Cl -0.004 1.693 8.524
Ag 0.000 0.000 0.000
Cu -1.306 0.864 3.020
Cu -4.787 -0.969 10.298
```

V: 360 Å³/cell
density: 2390 kg/m3
total magnetization: 2.9 Bohr magnetons per cell
formation energy from raw total energies: -0.2738 eV/atom
energy: -2.621 eV/atom
space-group type: C2/m, No. 12

---

No. 2
## CuAgCl (PBE-GGA)

Data for an optimized crystal structure of CuAgCl.

Geometry as extended XYZ:
```
3
Lattice="3.267 0.000 0.000 -1.634 2.829 0.000 0.000 0.000 5.803" Properties=species:S:1:pos:R:3 pbc="T T T"
Cu 1.634 0.943 3.750
Ag 0.000 0.000 5.654
Cl 0.000 1.886 2.201
```

V: 54 Å³/cell
density: 6405 kg/m3
total magnetization: 0.0 Bohr magnetons per cell
formation energy from raw total energies: -0.0437 eV/atom
energy: -2.975 eV/atom
space-group type: P3m1, No. 156
relative energy among the computed polymorphs: 44.3 meV/atom

---

No. 3
## CuAg2Cl2 (PBE-GGA)

Data for an optimized crystal structure of CuAg2Cl2.

Geometry as extended XYZ:
```
10
Lattice="-2.143 -3.837 -4.832 -3.546 -3.421 4.288 -3.766 3.006 -0.717" Properties=species:S:1:pos:R:3 pbc="T T T"
Ag -4.602 -1.413 1.695
Ag -4.853 -2.838 -2.956
Ag -3.188 -0.346 -1.259
Ag -6.267 -3.905 -0.002
Cl -3.556 -3.985 1.974
Cl -2.133 -3.272 -2.518
Cl -4.178 -5.470 -0.987
Cl -1.511 -1.788 0.443
Cu -2.844 -3.629 -0.272
Cu 0.000 0.000 0.000
```

V: 208 Å³/cell
density: 5595 kg/m3
total magnetization: 0.0 Bohr magnetons per cell
formation energy from raw total energies: 0.0764 eV/atom
energy: -2.622 eV/atom
space-group type: P4/mbm, No. 127
relative energy among the computed polymorphs: 0.0 meV/atom

---

No. 4
## Cu5Ag3Cl12 (PBE-GGA)

Data for an optimized crystal structure of Cu5Ag3Cl12.

Geometry as extended XYZ:
```
80
Lattice="-7.557 -2.572 -10.615 -5.789 -4.980 10.867 1.404 13.138 1.357" Properties=species:S:1:pos:R:3 pbc="T T T"
Cl -3.199 6.270 -2.420
Cl -5.407 4.698 -4.317
Cl -1.205 1.482 1.491
Cl -4.644 1.619 -0.848
Cl -3.354 -1.043 3.545
Cl -7.695 2.565 -5.230
Cl -10.727 -3.293 -3.549
Cl -11.361 -6.324 0.903
Cl -4.914 1.684 2.681
Cl -8.391 0.388 -2.838
Cl -1.215 8.879 5.158
Cl -0.581 11.910 0.706
Cl -1.174 5.193 1.355
Cl -4.964 -2.075 0.362
Cl -3.551 5.198 4.447
Cl -7.359 4.783 7.842
Cl -4.549 8.712 -0.737
Cl -5.942 -2.195 -5.908
Cl -11.241 -2.734 1.845
Cl -6.687 8.620 -3.772
Cl -3.714 7.878 2.600
Cl -6.000 7.781 7.517
Cl -8.588 6.629 -1.936
Cl -4.584 0.803 -6.233
Cl -5.087 0.294 9.498
Cl -5.846 8.852 -7.573
Cl -8.743 -0.684 4.029
Cl -4.247 3.021 6.839
Cl -7.298 3.967 2.457
Cl -7.028 3.902 -1.072
Cl -7.112 6.171 4.849
Cl -10.769 0.393 0.254
Cl -6.096 -3.266 9.183
Cl -4.292 4.535 0.675
Cl -10.737 4.104 0.118
Cl -7.650 1.051 0.934
Cl -5.255 -3.034 5.381
Cl -8.228 -2.292 -0.991
Cl -6.855 5.292 -7.889
Cl -2.573 3.204 -3.492
Cl -0.701 8.320 -0.236
Cl -6.978 7.661 1.247
Cl -4.830 -0.585 -3.240
Cl -9.369 2.382 5.101
Cl -7.393 -3.126 2.346
Cl -9.143 -0.313 -5.983
Cl -2.800 5.899 7.592
Cl -6.535 0.888 5.926
Cu -6.673 -3.776 0.126
Cu -2.895 -2.490 5.434
Cu 0.000 0.000 0.000
Cu -2.765 1.096 3.088
Cu -6.779 -3.358 7.025
Cu -4.106 -0.567 -1.094
Cu -7.836 6.153 2.703
Cu -3.779 -1.286 -5.308
Cu -5.163 8.944 -5.416
Cu 0.702 6.569 0.678
Cu -3.183 5.701 2.270
Cu -2.192 4.079 6.112
Cu -8.759 -0.115 -0.661
Cu -4.760 0.870 7.332
Cu -9.438 -2.680 3.214
Cu -5.971 2.793 0.805
Cu -7.182 4.716 -5.723
Cu -2.505 8.266 -1.605
Cu -9.178 4.491 -1.479
Cu -3.077 5.283 -4.629
Ag -10.779 -4.343 -0.968
Ag -1.163 9.929 2.577
Ag -6.985 0.412 -7.591
Ag -6.101 -0.792 3.151
Ag -9.856 1.925 2.396
Ag -4.279 7.740 5.326
Ag -4.957 5.174 9.200
Ag -5.644 2.074 -3.409
Ag -2.086 3.661 -0.787
Ag -7.663 -2.154 -3.717
Ag -5.841 6.378 -1.542
Ag -6.298 3.512 5.018
```

V: 1804 Å³/cell
density: 3929 kg/m3
total magnetization: 0.0 Bohr magnetons per cell
formation energy from raw total energies: -0.4369 eV/atom
energy: -2.997 eV/atom
space-group type: Ia-3d, No. 230

---

No. 5
## CuAgCl (PBE-GGA)

Data for an optimized crystal structure of CuAgCl.

Geometry as extended XYZ:
```
3
Lattice="5.995 0.001 0.000 4.413 4.058 0.000 -5.204 -2.030 2.177" Properties=species:S:1:pos:R:3 pbc="T T T"
Cu 7.018 2.737 0.000
Cl 3.188 1.243 0.000
Ag 0.202 0.079 0.000
```

V: 53 Å³/cell
density: 6487 kg/m3
total magnetization: 0.0 Bohr magnetons per cell
formation energy from raw total energies: 0.0598 eV/atom
energy: -2.872 eV/atom
space-group type: I4mm, No. 107
relative energy among the computed polymorphs: 147.9 meV/atom

---

No. 6
## CuAg6Cl12 (PBE-GGA)

Data for an optimized crystal structure of CuAg6Cl12.

Geometry as extended XYZ:
```
19
Lattice="-6.894 6.502 3.229 -1.984 -7.554 -0.820 3.145 -0.126 7.177" Properties=species:S:1:pos:R:3 pbc="T T T"
Ag -2.466 0.916 7.666
Ag 0.615 -1.297 4.693
Ag -6.349 0.119 4.892
Ag -3.268 -2.094 1.919
Ag -3.152 2.484 3.653
Ag -2.581 -3.662 5.933
Cl -7.210 0.487 2.317
Cl -0.885 1.553 5.860
Cl -4.849 -2.731 3.725
Cl 0.570 -0.371 2.179
Cl -3.327 0.231 2.704
Cl -4.761 1.916 5.391
Cl -2.407 -1.409 6.882
Cl -3.488 -4.467 1.110
Cl -0.973 -3.094 4.194
Cl -2.246 3.289 8.475
Cl -6.304 -0.807 7.407
Cl 1.476 -1.665 7.269
Cu 0.000 0.000 0.000
```

V: 528 Å³/cell
density: 3575 kg/m3
total magnetization: 0.0 Bohr magnetons per cell
formation energy from raw total energies: -0.3870 eV/atom
energy: -2.669 eV/atom
space-group type: P-1, No. 2

---

No. 7
## CuAg2Cl4 (PBE-GGA)

Data for an optimized crystal structure of CuAg2Cl4.

Geometry as extended XYZ:
```
7
Lattice="6.074 0.000 0.000 0.000 6.074 0.000 -3.037 -3.037 5.288" Properties=species:S:1:pos:R:3 pbc="T T T"
Cu 3.037 3.037 0.000
Cl 1.674 4.399 1.224
Cl 1.362 1.362 4.065
Cl 4.399 1.675 1.224
Cl -1.362 -1.362 4.065
Ag 3.037 0.000 2.644
Ag 0.000 3.037 2.644
```

V: 195 Å³/cell
density: 3584 kg/m3
total magnetization: 0.9 Bohr magnetons per cell
formation energy from raw total energies: -0.4491 eV/atom
energy: -2.904 eV/atom
space-group type: I-42m, No. 121
relative energy among the computed polymorphs: 0.0 meV/atom

---

No. 8
## CuAg2Cl2 (PBE-GGA)

Data for an optimized crystal structure of CuAg2Cl2.

Geometry as extended XYZ:
```
5
Lattice="-0.906 1.125 -3.944 0.645 -3.949 -1.275 -6.480 -2.794 -1.544" Properties=species:S:1:pos:R:3 pbc="T T T"
Cl -1.654 -1.744 -2.353
Cl -5.087 -3.875 -4.408
Cu 0.000 0.000 0.000
Ag -3.759 -1.541 -4.048
Ag -2.983 -4.078 -2.714
```

V: 116 Å³/cell
density: 5007 kg/m3
total magnetization: 0.0 Bohr magnetons per cell
formation energy from raw total energies: 0.2662 eV/atom
energy: -2.432 eV/atom
space-group type: I4/mmm, No. 139
relative energy among the computed polymorphs: 189.8 meV/atom

---

Q: Among the records above, which one has the highest formation energy from raw total energies?
A: number 8